YCd8Ag4 | PBE | optimized geometry

Cell and atoms, written as extended XYZ:
```
13
Lattice="-5.234 2.058 0.329 -5.042 -5.376 1.657 -1.698 2.274 7.001" Properties=species:S:1:pos:R:3 pbc="T T T"
Cd -2.848 -0.357 5.163
Cd -6.954 -2.733 2.948
Cd -2.934 -0.059 1.920
Cd -5.752 0.284 3.193
Cd -9.039 -0.984 7.066
Cd -5.020 1.691 6.038
Cd -3.892 -2.744 3.495
Cd -6.222 -1.327 5.793
Ag -5.138 -1.659 0.993
Ag -0.849 1.137 3.500
Ag -3.466 2.166 3.665
Ag -2.521 -2.688 0.828
Y 0.000 0.000 0.000
```

Summary:
DOS at the Fermi energy: 0.499 states/eV per atom
energy of formation from the pure elements: -0.122 eV/atom
space group: I4/mmm (139)
electronic total energy: -26.77 eV/cell

***

YZnCdAg | PBE | optimized geometry

Cell and atoms, written as extended XYZ:
```
4
Lattice="4.887 0.000 0.000 2.444 4.232 0.000 2.444 1.411 3.990" Properties=species:S:1:pos:R:3 pbc="T T T"
Ag 0.000 0.000 0.000
Zn 4.887 2.822 1.995
Cd 2.444 1.411 0.998
Y 7.331 4.232 2.993
```

Summary:
DOS at the Fermi energy: 0.560 states/eV per atom
energy of formation from the pure elements: -0.311 eV/atom
space group: F-43m (216)
electronic total energy: -12.75 eV/cell

***

ZnCd2Ag5 | PBE | optimized geometry

Cell and atoms, written as extended XYZ:
```
8
Lattice="-1.093 3.036 3.544 2.627 -3.788 4.055 5.370 2.867 -0.800" Properties=species:S:1:pos:R:3 pbc="T T T"
Ag 4.595 0.988 0.571
Ag -0.547 1.518 1.772
Ag 3.402 -1.909 2.684
Ag 2.258 -0.260 0.919
Ag 5.738 -0.661 2.336
Cd 2.138 2.952 1.372
Cd 0.767 -0.376 3.800
Zn 0.000 0.000 0.000
```

Summary:
DOS at the Fermi energy: 0.255 states/eV per atom
energy of formation from the pure elements: 0.291 eV/atom
space group: P4/mmm (123)
electronic total energy: -15.03 eV/cell

***

ZnCd6Ag | PBE | optimized geometry

Cell and atoms, written as extended XYZ:
```
8
Lattice="7.909 -0.958 -1.512 3.096 7.145 0.403 2.985 2.674 2.752" Properties=species:S:1:pos:R:3 pbc="T T T"
Cd 6.066 7.411 1.283
Cd 9.511 3.796 -0.298
Cd 4.479 5.065 1.941
Cd 5.037 2.332 0.687
Cd 8.954 6.529 0.957
Cd 7.924 1.450 0.360
Zn 6.995 4.431 0.822
Ag 0.000 0.000 0.000
```

Summary:
DOS at the Fermi energy: 0.356 states/eV per atom
energy of formation from the pure elements: 0.027 eV/atom
space group: P-1 (2)
electronic total energy: -9.40 eV/cell

***

ZnCdAg2 | PBE | optimized geometry

Cell and atoms, written as extended XYZ:
```
4
Lattice="-1.394 3.491 -5.125 3.332 -5.306 1.069 -1.178 -4.489 4.343" Properties=species:S:1:pos:R:3 pbc="T T T"
Cd 1.077 -4.897 2.706
Ag 0.507 -2.306 1.274
Ag 1.647 -7.489 4.138
Zn 0.000 0.000 0.000
```

Summary:
DOS at the Fermi energy: 0.367 states/eV per atom
energy of formation from the pure elements: 0.168 eV/atom
space group: Immm (71)
electronic total energy: -7.22 eV/cell

***

ZnCdAg4 | PBE | optimized geometry

Cell and atoms, written as extended XYZ:
```
6
Lattice="-2.964 -0.279 0.328 0.429 -2.088 2.104 0.131 8.474 8.386" Properties=species:S:1:pos:R:3 pbc="T T T"
Ag -1.160 5.776 8.103
Ag 0.085 5.501 5.443
Ag -1.244 0.331 2.714
Ag 0.046 2.973 2.942
Cd 0.000 0.000 0.000
Zn -1.202 3.054 5.409
```

Summary:
DOS at the Fermi energy: 0.281 states/eV per atom
energy of formation from the pure elements: -0.022 eV/atom
space group: P4/mmm (123)
electronic total energy: -13.73 eV/cell

***

ZnCdAg2 | PBE | optimized geometry

Cell and atoms, written as extended XYZ:
```
4
Lattice="-0.678 -4.279 1.552 0.757 -1.075 -2.633 5.333 -0.585 0.717" Properties=species:S:1:pos:R:3 pbc="T T T"
Ag 1.044 -2.536 0.286
Ag 0.678 -0.927 -2.259
Cd 3.169 -0.844 -0.943
Zn 4.324 -3.536 -1.040
```

Summary:
DOS at the Fermi energy: 0.202 states/eV per atom
energy of formation from the pure elements: -0.010 eV/atom
space group: Pm (6)
electronic total energy: -7.93 eV/cell

***

ZnCdAg2 | PBE | optimized geometry

Cell and atoms, written as extended XYZ:
```
4
Lattice="-0.961 -1.360 -4.975 -0.336 -3.982 -3.399 -4.636 -1.292 -0.310" Properties=species:S:1:pos:R:3 pbc="T T T"
Ag -1.396 -5.318 -8.294
Ag -4.401 -4.953 -6.494
Zn -1.378 -1.649 -2.196
Cd -3.022 -3.374 -4.414
```

Summary:
DOS at the Fermi energy: 0.123 states/eV per atom
energy of formation from the pure elements: -0.023 eV/atom
space group: Cm (8)
electronic total energy: -7.98 eV/cell